(1)
Material: Sr2CdHg2
Method: DFT, GGA-PBE
State: relaxed

a b c (Å): 9.7139 9.7139 9.7139
angles (deg): 154.27 154.27 36.70
With the nearest neighbours (Å) after each atom.
Element x y z (fractional)
Sr1 0.1056 0.1056 0.0000  4 Hg 3.43, 4 Cd 3.63
Sr2 0.8944 0.8944 0.0000  4 Hg 3.43, 4 Cd 3.63
Cd1 0.5000 0.5000 0.0000  8 Sr 3.63
Hg1 0.2500 0.7500 0.5000  4 Hg 3.06
Hg2 0.7500 0.2500 0.5000  4 Hg 3.06

Results
energy relative to the lowest polymorph listed for this composition	151.7	meV/atom
density of states at the Fermi level	2.97	states/eV/f.u.
ΔE_f	-0.294	eV/atom
spin magnetization	0.0	μB per cell

(2)
Material: SrCd8Hg2
Method: DFT, GGA-PBE
State: relaxed

a b c (Å): 5.9525 5.9525 10.0939
angles (deg): 90.00 90.00 90.00
With the nearest neighbours (Å) after each atom.
Element x y z (fractional)
Sr1 0.0000 0.0000 0.0000  8 Cd 3.44
Cd1 0.2525 0.2525 0.2682  4 Cd 2.95-3.01, 2 Hg 3.15
Cd2 0.2525 0.2525 0.7318  4 Cd 2.95-3.01, 2 Hg 3.15
Cd3 0.2525 0.7475 0.2682  4 Cd 2.95-3.01, 2 Hg 3.15
Cd4 0.2525 0.7475 0.7318  4 Cd 2.95-3.01, 2 Hg 3.15
Cd5 0.7475 0.2525 0.2682  4 Cd 2.95-3.01, 2 Hg 3.15
Cd6 0.7475 0.2525 0.7318  4 Cd 2.95-3.01, 2 Hg 3.15
Cd7 0.7475 0.7475 0.2682  4 Cd 2.95-3.01, 2 Hg 3.15
Cd8 0.7475 0.7475 0.7318  4 Cd 2.95-3.01, 2 Hg 3.15
Hg1 0.0000 0.5000 0.5000  8 Cd 3.15
Hg2 0.5000 0.0000 0.5000  8 Cd 3.15

Results
energy relative to the lowest polymorph listed for this composition	76.0	meV/atom
density of states at the Fermi level	6.08	states/eV/f.u.
ΔE_f	0.075	eV/atom
spin magnetization	0.0	μB per cell

> density of states at the Fermi level of number 2 (SrCd8Hg2)?

6.08 states/eV/f.u.

> Which of these has the lowest energy relative to the lowest polymorph listed for this composition?

SrCd8Hg2

> Which value of energy relative to the lowest polymorph listed for this composition does entry 2 give?

76.0 meV/atom